(1)
Density functional theory data (PBE) for an optimized crystal structure of Na4TlCd2In2.

Calculated values
Its raw total energy is -1.753 eV/atom.

Lattice parameters (Å, degrees): 5.276 6.079 8.254 73.92 71.70 89.59
Space group P-1 (No. 2)
Inequivalent atoms, fractional coordinates:
Na: 0.116 0.077 0.266 (multiplicity 2)
Na: 0.342 0.208 0.815 (multiplicity 2)
Tl: 0.000 0.500 0.500 (multiplicity 1)
Cd: 0.455 0.745 0.594 (multiplicity 2)
In: 0.247 0.637 0.007 (multiplicity 2)

***

(2)
Density functional theory data (PBE) for an optimized crystal structure of BeP2Ru.

Calculated values
Its raw total energy is -5.863 eV/atom.

Lattice parameters (Å, degrees): 4.846 6.720 3.026 90.00 90.20 90.00
Space group C2/m (No. 12)
Inequivalent atoms, fractional coordinates:
Be: 0.000 0.000 0.000 (multiplicity 2)
P: 0.250 0.250 0.500 (multiplicity 4)
Ru: 0.000 0.500 0.000 (multiplicity 2)

***

(3)
Density functional theory data (PBE) for an optimized crystal structure of CaTaAs2.

Calculated values
The energy above the most stable polymorph in this dataset is 549 meV per atom.

Lattice parameters (Å, degrees): 6.280 7.179 3.445 90.00 90.00 90.00
Space group Cmmm (No. 65)
Inequivalent atoms, fractional coordinates:
Ca: 0.000 0.000 0.000 (multiplicity 2)
Ta: 0.000 0.500 0.000 (multiplicity 2)
As: 0.250 0.250 0.500 (multiplicity 4)

***

(4)
Density functional theory data (PBE) for an optimized crystal structure of Rb2ZnCo.

Calculated values
Its raw total energy is -1.526 eV/atom.

Lattice parameters (Å, degrees): 5.735 5.735 23.184 90.00 90.00 90.00
Space group I-42d (No. 122)
Inequivalent atoms, fractional coordinates:
Rb: 0.242 0.250 0.125 (multiplicity 8)
Zn: 0.000 0.000 0.500 (multiplicity 4)
Co: 0.000 0.000 0.000 (multiplicity 4)

***

(5)
Density functional theory data (PBE) for an optimized crystal structure of AlBiOsO6.

Calculated values
Its uncorrected formation energy is -1593.9 meV per atom.

Lattice parameters (Å, degrees): 5.1139 5.1139 4.9631 90.00 90.00 120.00
Space group P312 (No. 149)
Inequivalent atoms, fractional coordinates:
Al: 0.0000 0.0000 0.0000 (multiplicity 1)
Bi: 0.3333 0.6667 0.5000 (multiplicity 1)
Os: 0.6667 0.3333 0.0000 (multiplicity 1)
O: 0.3298 0.0369 0.2131 (multiplicity 6)

***

(6)
Density functional theory data (PBE) for an optimized crystal structure of CdH2Se2.

Calculated values
The energy above the most stable polymorph in this dataset is 238 meV per atom.

Lattice parameters (Å, degrees): 7.588 7.588 3.408 90.00 90.00 90.00
Space group P4/mbm (No. 127)
Inequivalent atoms, fractional coordinates:
Cd: 0.000 0.000 0.000 (multiplicity 2)
H: 0.132 0.368 0.500 (multiplicity 4)
Se: 0.182 0.318 0.000 (multiplicity 4)

***

(7)
Density functional theory data (PBE) for an optimized crystal structure of CsTl4Sn.

Calculated values
The energy above the most stable polymorph in this dataset is 103 meV per atom.

Lattice parameters (Å, degrees): 9.495 9.495 9.495 90.00 90.00 90.00
Space group F-43m (No. 216)
Inequivalent atoms, fractional coordinates:
Cs: 0.000 0.000 0.000 (multiplicity 4)
Tl: 0.124 0.124 0.624 (multiplicity 16)
Sn: 0.250 0.250 0.250 (multiplicity 4)

***

(8)
Density functional theory data (PBE) for an optimized crystal structure of KPb2Cl.

Calculated values
Its uncorrected formation energy is 8.0 meV per atom. The energy above the most stable polymorph in this dataset is 715 meV per atom.

Lattice parameters (Å, degrees): 8.044 8.044 8.044 90.00 90.00 90.00
Space group Fm-3m (No. 225)
Inequivalent atoms, fractional coordinates:
K: 0.000 0.000 0.000 (multiplicity 4)
Pb: 0.250 0.250 0.250 (multiplicity 8)
Cl: 0.000 0.000 0.500 (multiplicity 4)

***

(9)
Density functional theory data (PBE) for an optimized crystal structure of IrW2Br.

Calculated values
Its uncorrected formation energy is 1191.2 meV per atom. The energy above the most stable polymorph in this dataset is 701 meV per atom.

Lattice parameters (Å, degrees): 6.440 6.440 6.440 90.00 90.00 90.00
Space group F-43m (No. 216)
Inequivalent atoms, fractional coordinates:
Ir: 0.000 0.000 0.000 (multiplicity 4)
W: 0.000 0.000 0.500 (multiplicity 4)
W: 0.250 0.250 0.250 (multiplicity 4)
Br: 0.250 0.250 0.750 (multiplicity 4)

***

(10)
Density functional theory data (PBE) for an optimized crystal structure of DyI4.

Calculated values
Its uncorrected formation energy is -783.1 meV per atom.

Lattice parameters (Å, degrees): 6.029 6.029 6.029 90.00 90.00 90.00
Space group Pm-3m (No. 221)
Inequivalent atoms, fractional coordinates:
Dy: 0.000 0.000 0.000 (multiplicity 1)
I: 0.000 0.000 0.500 (multiplicity 3)
I: 0.500 0.500 0.500 (multiplicity 1)

***

(11)
Density functional theory data (PBE) for an optimized crystal structure of LaScNbV2.

Calculated values
Its raw total energy is -6.627 eV/atom.

Lattice parameters (Å, degrees): 4.708 4.708 5.022 90.00 90.00 90.00
Space group P4/mmm (No. 123)
Inequivalent atoms, fractional coordinates:
La: 0.000 0.000 0.000 (multiplicity 1)
Sc: 0.500 0.500 0.500 (multiplicity 1)
Nb: 0.500 0.500 0.000 (multiplicity 1)
V: 0.000 0.500 0.500 (multiplicity 2)

***

(12)
Density functional theory data (PBE) for an optimized crystal structure of Pm4TeSe2N2.

Calculated values
Its uncorrected formation energy is -1586.6 meV per atom.

Lattice parameters (Å, degrees): 16.173 3.984 8.666 90.00 118.76 90.00
Space group C2/m (No. 12)
Inequivalent atoms, fractional coordinates:
Pm: 0.022 0.000 0.305 (multiplicity 4)
Pm: 0.233 0.500 0.320 (multiplicity 4)
Te: 0.000 0.500 0.000 (multiplicity 2)
Se: 0.115 0.500 0.669 (multiplicity 4)
N: 0.174 0.000 0.380 (multiplicity 4)

***

| no. | V (Å³/atom) | M_tot (μB per cell) |
| --- | --- | --- |
| 1 | 26.73 | 0.0 |
| 2 | 12.32 | 0.0 |
| 3 | 19.41 | 0.0 |
| 4 | 47.66 | 7.1 |
| 5 | 12.49 | 1.9 |
| 6 | 19.62 | 0.0 |
| 7 | 35.67 | 0.0 |
| 8 | 32.53 | 0.0 |
| 9 | 16.70 | 0.0 |
| 10 | 43.83 | 1.0 |
| 11 | 22.26 | 0.0 |
| 12 | 27.19 | 0.0 |